The following is a DFT calculation (PBE-GGA) of a relaxed structure of Si2HgPt2.

POSCAR file:
```
Si2HgPt2
1.0
7.629 0.000 0.000
0.000 7.629 0.000
0.000 0.000 2.881
Si Hg Pt
4 2 4
Direct
0.147 0.353 0.000
0.353 0.853 0.000
0.647 0.147 0.000
0.853 0.647 0.000
0.000 0.000 0.500
0.500 0.500 0.500
0.138 0.638 0.500
0.362 0.138 0.500
0.638 0.862 0.500
0.862 0.362 0.500
```

- relative energy among the computed polymorphs (meV per atom) = 206.7
- size of the total moment (μB per formula unit) = 0.00
- symmetry = P4/mbm, No. 127
- density (g/cm3) = 12.81
- raw formation energy (eV per atom) = -0.13
- total DFT energy (no corrections) (eV for the cell shown) = -47.7
- volume (Å³/f.u.) = 83.86
- crystal system = tetragonal